Record 1
VASP calculation (SCAN) on a PBEsol-optimized structure of FeRh2.

Cell and atoms, written as POSCAR:
```
FeRh2
1.0
4.1882 0.0000 0.0000
-2.0941 3.6271 0.0000
0.0000 0.0000 5.1469
Rh Fe
4 2
Direct
0.0000 0.0000 0.5000
0.0000 0.0000 0.0000
0.6667 0.3333 0.2500
0.3333 0.6667 0.7500
0.6667 0.3333 0.7500
0.3333 0.6667 0.2500
```

Computed properties:
space group = No. 194
crystal system = hexagonal

Record 2
VASP calculation (SCAN) on a PBEsol-optimized structure of FeRh.

Cell and atoms, written as POSCAR:
```
FeRh
1.0
-1.1367 0.6274 -2.6597
2.2626 -1.3994 -1.2970
-1.5325 -2.5314 0.0578
Fe Rh
1 1
Direct
0.5000 0.5000 0.5000
0.0000 0.0000 0.0000
```

Computed properties:
space group = No. 221
crystal system = cubic

Record 3
VASP calculation (SCAN) on a PBEsol-optimized structure of Fe4Rh5.

Cell and atoms, written as POSCAR:
```
Fe4Rh5
1.0
-0.7152 3.3467 1.5059
-4.5198 2.3859 -2.8073
-3.8314 -0.6840 4.3422
Rh Fe
5 4
Direct
0.3322 0.3356 0.0000
0.0000 0.0000 0.0000
0.3322 0.0000 0.3356
0.6678 0.6644 0.0000
0.6678 0.0000 0.6644
0.0000 0.3347 0.6653
0.6653 0.3347 0.3347
0.0000 0.6653 0.3347
0.3347 0.6653 0.6653
```

Computed properties:
space group = No. 139
crystal system = tetragonal
distance to the lowest polymorph of the same formula = 0.0 kJ/mol of atoms

Record 4
VASP calculation (SCAN) on a PBEsol-optimized structure of FeRh3.

Cell and atoms, written as POSCAR:
```
FeRh3
1.0
-1.9414 -1.3895 -1.1474
-0.3616 -2.5455 0.6370
-6.0997 1.0022 6.0498
Rh Fe
3 1
Direct
0.5000 0.5000 0.5000
0.7468 0.7468 0.7596
0.2532 0.2532 0.2404
0.0000 0.0000 0.0000
```

Computed properties:
space group = No. 166
crystal system = trigonal

Record 5
VASP calculation (SCAN) on a PBEsol-optimized structure of FeRh2.

Cell and atoms, written as POSCAR:
```
FeRh2
1.0
-1.4732 2.0419 0.8257
-0.8388 0.3984 -2.4817
-2.9964 -4.5662 1.6942
Rh Fe
2 1
Direct
0.6605 0.6605 0.3210
0.3395 0.3395 0.6790
0.0000 0.0000 0.0000
```

Computed properties:
space group = No. 139
crystal system = tetragonal

Record 6
VASP calculation (SCAN) on a PBEsol-optimized structure of Fe4Rh.

Cell and atoms, written as POSCAR:
```
Fe4Rh
1.0
4.0579 0.0000 0.0000
2.0289 3.5142 0.0000
2.0289 1.1714 4.1484
Fe Rh
4 1
Direct
0.2011 0.2011 0.3967
0.4035 0.4035 0.7896
0.5965 0.5965 0.2104
0.7989 0.7989 0.6033
0.0000 0.0000 0.0000
```

Computed properties:
space group = No. 166
crystal system = trigonal
distance to the lowest polymorph of the same formula = 0.3 kJ/mol of atoms

Record 7
VASP calculation (SCAN) on a PBEsol-optimized structure of FeRh.

Cell and atoms, written as POSCAR:
```
FeRh
1.0
-1.5093 2.1682 -2.4950
-3.0010 -2.1054 2.6319
1.6498 4.1972 2.6493
Fe Rh
3 3
Direct
0.9986 0.9973 0.0010
0.3320 0.6641 0.1670
0.0009 0.0018 0.4963
0.6618 0.3236 0.3289
0.3387 0.6773 0.6690
0.6680 0.3359 0.8378
```

Computed properties:
space group = No. 8
crystal system = monoclinic

Record 8
VASP calculation (SCAN) on a PBEsol-optimized structure of Fe3Rh.

Cell and atoms, written as POSCAR:
```
Fe3Rh
1.0
2.5476 0.0000 0.0000
-0.8492 4.6806 0.0000
-0.8492 -2.3403 4.0536
Fe Rh
3 1
Direct
0.5000 0.0000 0.5000
0.5000 0.5000 0.0000
0.0000 0.5000 0.5000
0.0000 0.0000 0.0000
```

Computed properties:
space group = No. 166
crystal system = trigonal

What E_form values result from the calculations? In sequence: -0.07 -0.28 -0.09 -0.05 -0.06 -0.15 -0.08 -0.13 eV/atom.
What total DFT energy (no corrections) values result from the calculations? In sequence: -1.052 -0.964 -0.989 -1.099 -1.052 -0.787 -0.957 -0.815 hartree per atom.